Entry 1:
This record from Alexandria via LeMat-Bulk describes TlInRe3 after structural relaxation. The functional is GGA-PBE.

Lattice parameters (Å, degrees): 4.9002 4.9002 4.9002 90.00 90.00 90.00
Last column: nearest neighbours and their distance in Å.
Element x y z (fractional)
1 Re 0.0000 0.5000 0.0000  2 In 2.45
2 In 0.0000 0.0000 0.0000  6 Re 2.45
3 Re 0.5000 0.0000 0.0000  2 In 2.45
4 Re 0.0000 0.0000 0.5000  2 In 2.45
5 Tl 0.5000 0.5000 0.5000  12 Re 3.46

Values from the calculation:
**E_form**: 14.4 eV per formula unit
**Energy relative to the lowest polymorph listed for this composition**: 0.000 eV per formula unit
**Uncorrected energy**: -5.61 eV/atom
**Density**: 12.39 Mg/m³



Entry 2:
This record from Alexandria via LeMat-Bulk describes LaNd5Sm5 after structural relaxation. The functional is GGA-PBE.

Lattice parameters (Å, degrees): 7.0893 8.6168 9.8079 44.55 89.49 104.21
Last column: nearest neighbours and their distance in Å.
Element x y z (fractional)
1 Sm 0.3551 0.5176 0.7792  1 La 3.40, 5 Nd 3.42-3.77, 4 Sm 3.47-3.79
2 Nd 0.5000 0.0000 0.0000  2 La 3.54, 4 Nd 3.60-3.68, 4 Sm 3.64-3.76
3 La 0.0000 0.0000 0.0000  4 Sm 3.40-3.53, 4 Nd 3.42-3.54
4 Sm 0.2909 0.0413 0.3097  4 Sm 3.47-3.63, 5 Nd 3.50-3.64, 1 La 3.86
5 Sm 0.6449 0.4824 0.2208  1 La 3.40, 5 Nd 3.42-3.77, 4 Sm 3.47-3.79
6 Nd 0.7573 0.9190 0.3602  5 Sm 3.42-3.73, 1 La 3.42, 3 Nd 3.62-3.68
7 Nd 0.1418 0.4967 0.1478  5 Sm 3.50-3.77, 5 Nd 3.52-3.87, 1 La 3.89
8 Nd 0.8582 0.5033 0.8522  5 Sm 3.50-3.77, 5 Nd 3.52-3.87, 1 La 3.89
9 Sm 0.7091 0.9587 0.6903  4 Sm 3.47-3.63, 5 Nd 3.50-3.64, 1 La 3.86
10 Nd 0.2427 0.0810 0.6398  5 Sm 3.42-3.73, 1 La 3.42, 3 Nd 3.62-3.68
11 Sm 0.0000 0.5000 0.5000  4 Sm 3.51-3.79, 2 La 3.53, 4 Nd 3.61-3.73

Values from the calculation:
**E_form**: 1.5 eV per formula unit
**Energy relative to the lowest polymorph listed for this composition**: 0.000 eV per formula unit
**Uncorrected energy**: -4.62 eV/atom
**Density**: 6.82 Mg/m³



Entry 3:
This record from Alexandria via LeMat-Bulk describes Tl2In2Br5 after structural relaxation. The functional is GGA-PBE.

Lattice parameters (Å, degrees): 8.0337 8.0879 12.6020 108.72 108.59 90.00
Last column: nearest neighbours and their distance in Å.
Element x y z (fractional)
1 In 0.0000 0.9525 0.0000  6 Br 2.85-2.95
2 Br 0.7607 0.7178 0.0297  2 In 2.85-2.89
3 Br 0.5586 0.5524 0.2571  2 In 2.95-3.17, 1 Tl 3.26
4 Br 0.8015 0.7953 0.7429  2 In 2.95-3.17, 1 Tl 3.26
5 In 0.2085 0.3399 0.5000  4 Br 3.02-3.26
6 Tl 0.5770 0.1353 0.2197  5 Br 3.26-3.62
7 Tl 0.4230 0.9156 0.7803  5 Br 3.26-3.62
8 Br 0.1985 0.0524 0.2571  2 In 2.95-3.17, 1 Tl 3.26
9 Br 0.1532 0.7391 0.5000  2 In 3.02-3.26, 2 Tl 3.33
10 Br 0.2393 0.6881 0.9703  2 In 2.85-2.89
11 Br 0.8468 0.2391 0.5000  2 In 3.02-3.26, 2 Tl 3.33
12 Br 0.7690 0.2178 0.0297  2 In 2.85-2.89
13 Tl 0.1426 0.6353 0.2197  5 Br 3.26-3.62
14 Br 0.2310 0.1881 0.9703  2 In 2.85-2.89
15 In 0.7915 0.8399 0.5000  4 Br 3.02-3.26
16 In 0.5000 0.4525 0.0000  6 Br 2.85-2.95
17 Tl 0.8574 0.4156 0.7803  5 Br 3.26-3.62
18 Br 0.4414 0.2953 0.7429  2 In 2.95-3.17, 1 Tl 3.26

Values from the calculation:
**Energy relative to the elements, uncorrected**: -0.743 eV/atom
**Energy relative to the lowest polymorph listed for this composition**: 0.000 eV per formula unit
**Uncorrected energy**: -2.81 eV/atom
**Density**: 4.72 Mg/m³



Entry 4:
This record from Alexandria via LeMat-Bulk describes ErSc4Ge4 after structural relaxation. The functional is GGA-PBE.

Lattice parameters (Å, degrees): 5.4508 8.8281 8.8281 90.00 90.00 90.00
Last column: nearest neighbours and their distance in Å.
Element x y z (fractional)
1 Sc 0.8861 0.6089 0.8495  5 Ge 2.72-2.85
2 Ge 0.3977 0.6460 0.7951  1 Ge 2.57, 5 Sc 2.72-2.85
3 Sc 0.1139 0.8495 0.3911  5 Ge 2.72-2.85
4 Er 0.5000 0.5000 0.5000  4 Ge 2.96
5 Ge 0.8977 0.7049 0.1460  1 Ge 2.57, 5 Sc 2.72-2.85
6 Sc 0.3861 0.3495 0.8911  5 Ge 2.72-2.85
7 Er 0.0000 0.0000 0.0000  4 Ge 2.96
8 Sc 0.6139 0.1089 0.3495  5 Ge 2.72-2.85
9 Ge 0.1023 0.1460 0.2951  1 Ge 2.57, 5 Sc 2.72-2.85
10 Sc 0.6139 0.8911 0.6505  5 Ge 2.72-2.85
11 Ge 0.1023 0.8540 0.7049  1 Ge 2.57, 5 Sc 2.72-2.85
12 Ge 0.8977 0.2951 0.8540  1 Ge 2.57, 5 Sc 2.72-2.85
13 Sc 0.8861 0.3911 0.1505  5 Ge 2.72-2.85
14 Sc 0.3861 0.6505 0.1089  5 Ge 2.72-2.85
15 Ge 0.3977 0.3540 0.2049  1 Ge 2.57, 5 Sc 2.72-2.85
16 Sc 0.1139 0.1505 0.6089  5 Ge 2.72-2.85
17 Ge 0.6023 0.7951 0.3540  1 Ge 2.57, 5 Sc 2.72-2.85
18 Ge 0.6023 0.2049 0.6460  1 Ge 2.57, 5 Sc 2.72-2.85

Values from the calculation:
**E_form**: -5.1 eV per formula unit
**Uncorrected energy**: -5.95 eV/atom
**Density**: 4.98 Mg/m³



> Which value of density does entry 1 give?

12.39 Mg/m³